TcBI3: optimized geometry, PBE.

Cell: 5.537 5.537 5.537 Å, 90.00 90.00 90.00°
Element x y z (fractional)
I1 0.500 0.000 0.000
I2 0.000 0.000 0.500
I3 0.000 0.500 0.000
B1 0.500 0.500 0.500
Tc1 0.000 0.000 0.000

Output
space-group type	Pm-3m


TcBI3: optimized geometry, PBE.

Cell: 5.154 5.154 5.154 Å, 90.00 90.00 90.00°
Element x y z (fractional)
I1 0.000 0.500 0.000
I2 0.000 0.000 0.500
I3 0.500 0.000 0.000
Tc1 0.500 0.500 0.500
B1 0.000 0.000 0.000

Output
space-group type	Pm-3m


TcB2I: optimized geometry, PBE.

Cell: 4.173 4.173 4.173 Å, 60.00 60.00 60.00°
Element x y z (fractional)
I1 0.500 0.500 0.500
B1 0.250 0.250 0.250
B2 0.750 0.750 0.750
Tc1 0.000 0.000 0.000

Output
space-group type	Fm-3m


TcBTe2I: optimized geometry, PBE.

Cell: 4.726 4.726 4.796 Å, 90.00 90.00 90.00°
Element x y z (fractional)
Te1 0.000 0.500 0.000
Te2 0.500 0.000 0.000
B1 0.000 0.000 0.000
Tc1 0.500 0.500 0.500
I1 0.000 0.000 0.500

Output
space-group type	P4/mmm


TcBTeI2: optimized geometry, PBE.

Cell: 5.636 5.636 5.037 Å, 90.00 90.00 90.00°
Element x y z (fractional)
I1 0.500 0.000 0.000
I2 0.000 0.500 0.000
B1 0.500 0.500 0.500
Tc1 0.000 0.000 0.000
Te1 0.000 0.000 0.500

Output
space-group type	P4/mmm


TcBTeI2: optimized geometry, PBE.

Cell: 4.827 4.827 4.819 Å, 90.00 90.00 90.00°
Element x y z (fractional)
B1 0.000 0.000 0.000
I1 0.500 0.000 0.000
I2 0.000 0.500 0.000
Tc1 0.500 0.500 0.500
Te1 0.000 0.000 0.500

Output
space-group type	P4/mmm


TcBTe2I: optimized geometry, PBE.

Cell: 5.117 5.117 5.833 Å, 90.00 90.00 90.00°
Element x y z (fractional)
Te1 0.000 0.500 0.000
Te2 0.500 0.000 0.000
B1 0.500 0.500 0.500
I1 0.000 0.000 0.500
Tc1 0.000 0.000 0.000

Output
space-group type	P4/mmm


TcBW2I: optimized geometry, PBE.

Cell: 4.888 4.753 4.888 Å, 90.00 90.00 90.00°
Element x y z (fractional)
W1 0.000 0.000 0.500
W2 0.500 0.000 0.000
Tc1 0.000 0.500 0.000
I1 0.000 0.000 0.000
B1 0.500 0.500 0.500

Output
space-group type	P4/mmm


BTeI2: optimized geometry, PBE.

Cell: 3.451 6.487 7.229 Å, 99.84 90.42 90.02°
Element x y z (fractional)
I1 0.020 0.351 0.783
I2 0.524 0.046 0.106
B1 0.024 0.281 0.074
Te1 0.027 0.551 0.307

Output
space-group type	P1


BTeI: optimized geometry, PBE.

Cell: 3.643 9.236 11.432 Å, 136.51 90.00 101.37°
Element x y z (fractional)
Te1 0.716 0.432 0.149
Te2 0.284 0.568 0.851
I1 0.591 0.181 0.414
I2 0.409 0.819 0.586
B1 0.713 0.425 0.689
B2 0.287 0.575 0.311

Output
space-group type	C2/m


BTeI2: optimized geometry, PBE.

Cell: 3.760 6.183 7.714 Å, 72.06 78.11 77.52°
Element x y z (fractional)
Te1 0.284 0.169 0.396
I1 0.818 0.673 0.432
I2 0.710 0.902 0.849
B1 0.783 0.986 0.551

Output
space-group type	P1


BTe3I: optimized geometry, PBE.

Cell: 5.024 5.024 5.024 Å, 90.00 90.00 90.00°
Element x y z (fractional)
Te1 0.000 0.000 0.500
Te2 0.500 0.000 0.000
Te3 0.000 0.500 0.000
I1 0.500 0.500 0.500
B1 0.000 0.000 0.000

Output
space-group type	Pm-3m


BTeI2: optimized geometry, PBE.

Cell: 5.417 5.417 5.417 Å, 60.00 60.00 60.00°
Element x y z (fractional)
I1 0.750 0.750 0.750
I2 0.250 0.250 0.250
B1 0.000 0.000 0.000
Te1 0.500 0.500 0.500

Output
space-group type	Fm-3m


B2TeI: optimized geometry, PBE.

Cell: 6.253 6.253 6.025 Å, 58.74 58.74 90.00°
Element x y z (fractional)
I1 0.750 0.250 0.500
I2 0.000 0.000 0.000
B1 0.596 0.125 0.250
B2 0.875 0.846 0.750
B3 0.154 0.625 0.250
B4 0.375 0.404 0.750
Te1 0.250 0.750 0.500
Te2 0.500 0.500 0.000

Output
space-group type	I-42d


BTeI2: optimized geometry, PBE.

Cell: 7.366 7.472 8.235 Å, 82.19 68.72 63.93°
Element x y z (fractional)
I1 0.919 0.283 0.370
I2 0.895 0.616 0.841
I3 0.610 0.084 0.105
I4 0.477 0.055 0.712
Te1 0.301 0.811 0.046
Te2 0.211 0.698 0.406
B1 0.105 0.983 0.298
B2 0.593 0.895 0.934

Output
space-group type	P1


BTeI2: optimized geometry, PBE.

Cell: 5.118 6.525 7.619 Å, 96.28 109.51 112.85°
Element x y z (fractional)
Te1 0.608 0.223 0.742
I1 0.327 0.513 0.237
I2 0.162 0.748 0.799
B1 0.037 0.474 0.952

Output
space-group type	P1


BTe3I: optimized geometry, PBE.

Cell: 5.872 5.872 5.872 Å, 90.00 90.00 90.00°
Element x y z (fractional)
Te1 0.000 0.500 0.000
Te2 0.500 0.000 0.000
Te3 0.000 0.000 0.500
B1 0.500 0.500 0.500
I1 0.000 0.000 0.000

Output
space-group type	Pm-3m


B2TeI: optimized geometry, PBE.

Cell: 4.709 4.709 4.709 Å, 60.00 60.00 60.00°
Element x y z (fractional)
B1 0.250 0.250 0.250
B2 0.750 0.750 0.750
I1 0.500 0.500 0.500
Te1 0.000 0.000 0.000

Output
space-group type	Fm-3m


BTe3I: optimized geometry, PBE.

Cell: 6.611 7.017 11.124 Å, 128.57 90.05 90.00°
Element x y z (fractional)
I1 0.702 0.773 0.286
I2 0.201 0.227 0.714
Te1 0.598 0.028 0.769
Te2 0.371 0.581 0.679
Te3 0.099 0.972 0.231
Te4 0.334 0.188 0.120
Te5 0.834 0.812 0.880
Te6 0.872 0.419 0.321
B1 0.994 0.103 0.097
B2 0.494 0.897 0.903

Output
space-group type	P1


BTeI3: optimized geometry, PBE.

Cell: 6.066 6.066 6.066 Å, 90.00 90.00 90.00°
Element x y z (fractional)
Te1 0.000 0.000 0.000
I1 0.000 0.500 0.000
I2 0.500 0.000 0.000
I3 0.000 0.000 0.500
B1 0.500 0.500 0.500

Output
space-group type	Pm-3m


The E_form (uncorrected) results, record by record, are as follows: 1.281, 1.340, 1.861, 1.349, 1.321, 1.519, 1.313, 3.490, 0.249, 0.241, 0.183, 0.738, 1.378, 1.366, 0.106, 0.240, 1.705, 1.953, 0.185, 1.069 eV per atom.